Here is PrTmTe2Br after structural relaxation from Alexandria via LeMat-Bulk. Energies are from PBE.

Unit cell a=4.4388 b=4.4388 c=15.0711 alpha=90.00 beta=90.00 gamma=90.00
Atoms (fractional coordinates):
Br: 0.0000 0.0000 0.5000
Tm: 0.0000 0.5000 0.9160
Te: 0.0000 0.5000 0.1176
Br: 0.5000 0.5000 0.5000
Te: 0.0000 0.5000 0.7117
Te: 0.5000 0.0000 0.2883
Pr: 0.5000 0.0000 0.6445
Te: 0.5000 0.0000 0.8824
Tm: 0.5000 0.0000 0.0840
Pr: 0.0000 0.5000 0.3555

Calculated values
The calculation puts the volume at 296.94 Å³ per cell. Its density of states at the Fermi level is 1.6 states/eV/f.u. The mass density is 7.2 g/cm3. For the uncorrected formation energy, the calculation gives -1.396 eV per atom. The crystal system is tetragonal. As for the space-group type: P4/nmm. The total energy comes out at -0.1778 Ha/atom.